First-principles (PBE+U) data for a geometry-optimized RbMgFeF6 structure, as listed in the Alexandria database.

a b c (Å): 5.259 9.139 6.138
angles (deg): 90.00 90.04 90.00
Space group C2 (No. 5)
Symmetry-distinct sites (fractional):
Rb 0.000 0.000 0.000 x2
Mg 0.000 0.334 0.500 x2
Fe 0.000 0.667 0.500 x2
F 0.117 0.507 0.677 x4
F 0.178 0.807 0.675 x4
F 0.200 0.184 0.674 x4

Summary:
Total energy (eV for the cell shown): -87.4
ρ (g cm⁻³): 3.148